(1)
Material: Ba2DySb4Pd3
Method: DFT, PBE-GGA
State: relaxed

abc: 4.757 4.757 11.965
angles: 90.00 90.00 90.00
Fractional coordinates of all 10 atoms:
Sb1 0.500 0.000 0.650
Sb2 0.000 0.000 0.000
Sb3 0.000 0.500 0.350
Sb4 0.500 0.500 0.000
Pd1 0.000 0.000 0.500
Pd2 0.500 0.000 0.884
Pd3 0.000 0.500 0.116
Ba1 0.000 0.500 0.764
Ba2 0.500 0.000 0.236
Dy1 0.500 0.500 0.500

* SG: P-4m2, No. 115
* energy relative to the elements, uncorrected: -0.865 eV/atom

---

(2)
Material: BaDy2PdSe4
Method: DFT, PBE-GGA
State: relaxed

abc: 4.186 7.313 14.414
angles: 90.00 90.00 106.63
Fractional coordinates of all 16 atoms:
Dy1 0.632 0.264 0.427
Dy2 0.368 0.736 0.927
Dy3 0.368 0.736 0.573
Dy4 0.632 0.264 0.073
Se1 0.269 0.538 0.393
Se2 0.269 0.538 0.107
Se3 0.731 0.462 0.893
Se4 0.000 0.000 0.000
Se5 0.451 0.903 0.750
Se6 0.731 0.462 0.607
Se7 0.000 0.000 0.500
Se8 0.549 0.097 0.250
Ba1 0.120 0.240 0.750
Ba2 0.880 0.760 0.250
Pd1 0.155 0.311 0.250
Pd2 0.845 0.689 0.750

* SG: Cmcm, No. 63
* energy relative to the elements, uncorrected: -1.703 eV/atom

---

(3)
Material: Ba2DySn3Pd4
Method: DFT, PBE-GGA
State: relaxed

abc: 4.744 4.744 11.373
angles: 90.00 90.00 90.00
Fractional coordinates of all 10 atoms:
Pd1 0.500 0.000 0.641
Pd2 0.500 0.500 0.000
Pd3 0.000 0.500 0.359
Pd4 0.000 0.000 0.000
Sn1 0.000 0.500 0.117
Sn2 0.000 0.000 0.500
Sn3 0.500 0.000 0.883
Ba1 0.000 0.500 0.765
Ba2 0.500 0.000 0.235
Dy1 0.500 0.500 0.500

* SG: P-4m2, No. 115
* E_form: -0.76 eV per atom

---

(4)
Material: BaPm2Dy
Method: DFT, PBE-GGA
State: relaxed

abc: 3.751 3.751 10.872
angles: 90.00 90.00 90.00
Fractional coordinates of all 4 atoms:
Ba1 0.500 0.500 0.500
Dy1 0.500 0.500 0.000
Pm1 0.000 0.000 0.217
Pm2 0.000 0.000 0.783

* ΔE to the lowest computed polymorph: 0.000 kcal/mol of atoms
* SG: P4/mmm, No. 123
* E_form: 0.12 eV per atom

---

(5)
Material: BaPmDy2
Method: DFT, PBE-GGA
State: relaxed

abc: 3.722 3.722 10.827
angles: 90.00 90.00 90.00
Fractional coordinates of all 4 atoms:
Ba1 0.500 0.500 0.500
Dy1 0.000 0.000 0.219
Dy2 0.000 0.000 0.781
Pm1 0.500 0.500 0.000

* ΔE to the lowest computed polymorph: 0.000 kcal/mol of atoms
* SG: P4/mmm, No. 123
* E_form: 0.15 eV per atom

---

(6)
Material: BaPmDy2
Method: DFT, PBE-GGA
State: relaxed

abc: 3.634 3.634 13.101
angles: 82.03 82.03 60.00
Fractional coordinates of all 4 atoms:
Dy1 0.093 0.093 0.720
Dy2 0.907 0.907 0.280
Ba1 0.000 0.000 0.000
Pm1 0.500 0.500 0.500

* ΔE to the lowest computed polymorph: 1.720 kcal/mol of atoms
* SG: R-3m, No. 166
* E_form: 0.23 eV per atom